1.
8
Lattice="5.363 0.000 0.000 0.000 6.039 3.310 0.000 -6.039 3.310" Properties=species:S:1:pos:R:3 comment="Gd2MgCd (PBE, optimized geometry)" magnetic_moment_mub_per_cell=0.1 energy_ev_per_atom=-3.053 crystal_system=orthorhombic pbc="T T T"
Mg 1.341 -0.901 4.994
Mg 4.022 0.901 4.994
Gd 4.022 0.901 1.761
Gd 4.022 3.908 3.204
Gd 1.341 -3.908 3.204
Gd 1.341 -0.901 1.761
Cd 4.022 -2.066 3.283
Cd 1.341 2.066 3.283

2.
8
Lattice="3.995 0.000 0.000 0.000 3.995 0.000 0.000 0.000 8.730" Properties=species:S:1:pos:R:3 comment="DyMgPO (PBE, optimized geometry)" magnetic_moment_mub_per_cell=0.0 energy_ev_per_atom=-6.104 crystal_system=tetragonal pbc="T T T"
P 2.997 2.997 2.788
P 0.999 0.999 5.943
O 0.999 2.997 0.000
O 2.997 0.999 0.000
Mg 0.999 2.997 4.365
Mg 2.997 0.999 4.365
Dy 0.999 0.999 1.055
Dy 2.997 2.997 7.675

3.
4
Lattice="0.000 3.143 3.143 3.143 0.000 3.143 3.143 3.143 0.000" Properties=species:S:1:pos:R:3 comment="Ga2CoAs (PBE, optimized geometry)" magnetic_moment_mub_per_cell=0.1 energy_ev_per_atom=-4.225 crystal_system=cubic pbc="T T T"
Ga 0.000 0.000 0.000
Ga 4.714 4.714 4.714
Co 1.571 1.571 1.571
As 3.143 3.143 3.143

4.
8
Lattice="3.404 0.000 0.000 -1.702 2.948 0.000 0.000 0.000 13.598" Properties=species:S:1:pos:R:3 comment="Zr4AsPbN2 (PBE, optimized geometry)" magnetic_moment_mub_per_cell=0.0 energy_ev_per_atom=-8.555 crystal_system=hexagonal pbc="T T T"
Zr 1.702 0.983 11.686
Zr 1.702 0.983 1.912
Zr 0.000 0.000 4.335
Zr 0.000 0.000 9.263
N 0.000 1.965 3.151
N 0.000 1.965 10.447
Pb 1.702 0.983 6.799
As 0.000 0.000 0.000

5.
3
Lattice="2.258 1.304 3.688 -2.258 1.304 3.688 0.000 -2.608 3.688" Properties=species:S:1:pos:R:3 comment="NbTlCu (PBE, optimized geometry)" magnetic_moment_mub_per_cell=0.0 energy_ev_per_atom=-4.486 crystal_system=cubic pbc="T T T"
Tl 0.000 0.000 8.298
Cu 0.000 0.000 2.766
Nb 0.000 0.000 0.000

6.
9
Lattice="8.537 0.000 0.000 0.000 4.112 0.000 0.000 0.000 4.112" Properties=species:S:1:pos:R:3 comment="Er2Bi2O5 (PBE, optimized geometry)" magnetic_moment_mub_per_cell=1.1 energy_ev_per_atom=-6.776 crystal_system=tetragonal pbc="T T T"
O 1.393 2.056 0.000
O 7.145 0.000 2.056
O 7.145 2.056 0.000
O 1.393 0.000 2.056
O 4.269 2.056 2.056
Er 6.420 2.056 2.056
Er 2.117 2.056 2.056
Bi 4.269 0.000 0.000
Bi 0.000 0.000 0.000

7.
8
Lattice="-2.573 -0.698 -1.521 1.669 -5.261 -0.409 -3.177 -1.479 6.053" Properties=species:S:1:pos:R:3 comment="IrPbNO (PBE, optimized geometry)" magnetic_moment_mub_per_cell=0.0 energy_ev_per_atom=-6.292 crystal_system=orthorhombic pbc="T T T"
Pb -3.004 -4.160 3.895
Pb -0.246 -5.895 0.024
O -0.791 -3.486 -0.160
O -3.932 -1.930 4.440
Ir -0.355 -2.761 1.867
Ir -0.552 -5.872 3.629
N -1.351 -2.245 3.317
N -0.097 -4.680 2.313

8.
10
Lattice="0.000 4.697 4.697 4.697 0.000 4.697 4.697 4.697 0.000" Properties=species:S:1:pos:R:3 comment="CoCuHg2Cl6 (PBE, optimized geometry)" magnetic_moment_mub_per_cell=0.1 energy_ev_per_atom=-2.536 crystal_system=cubic pbc="T T T"
Co 0.000 0.000 0.000
Cl 2.276 4.697 4.697
Cl 7.119 4.697 4.697
Cl 4.697 4.697 7.119
Cl 4.697 4.697 2.276
Cl 4.697 7.119 4.697
Cl 4.697 2.276 4.697
Hg 2.349 2.349 2.349
Hg 7.046 7.046 7.046
Cu 4.697 4.697 4.697

9.
8
Lattice="3.566 0.000 0.000 -1.783 3.088 0.000 0.000 0.000 15.735" Properties=species:S:1:pos:R:3 comment="GdDyPbN (PBE, optimized geometry)" magnetic_moment_mub_per_cell=0.0 energy_ev_per_atom=-6.409 crystal_system=trigonal pbc="T T T"
Pb 0.000 2.059 11.835
Pb 1.783 1.029 3.901
N 0.000 0.000 7.868
N 0.000 0.000 0.000
Dy 0.000 2.059 1.298
Dy 1.783 1.029 14.437
Gd 0.000 2.059 6.541
Gd 1.783 1.029 9.194

10.
12
Lattice="-1.617 2.800 5.974 1.842 -2.357 5.465 5.575 5.415 -1.029" Properties=species:S:1:pos:R:3 comment="GdMgZn (PBE, optimized geometry)" magnetic_moment_mub_per_cell=0.0 energy_ev_per_atom=-2.689 crystal_system=monoclinic pbc="T T T"
Mg 1.465 2.606 3.037
Mg 3.663 4.252 4.703
Mg 5.604 1.796 4.537
Mg 4.434 2.916 1.852
Gd 0.195 0.986 7.314
Gd 4.548 3.147 7.479
Gd 0.709 4.071 6.007
Gd 0.946 -0.526 4.364
Zn -0.990 1.887 4.531
Zn 2.765 1.627 5.603
Zn -0.227 0.567 1.713
Zn 1.884 3.154 8.861

11.
2
Lattice="-1.982 1.397 -1.743 -1.191 -2.633 -0.756 -1.981 0.202 2.415" Properties=species:S:1:pos:R:3 comment="MgNi (PBE, optimized geometry)" magnetic_moment_mub_per_cell=0.0 energy_ev_per_atom=-3.725 crystal_system=tetragonal pbc="T T T"
Mg 0.000 0.000 0.000
Ni -2.577 -0.517 -0.042

12.
4
Lattice="0.845 -3.734 -0.131 -1.464 -2.200 -2.774 2.272 -1.354 -2.771" Properties=species:S:1:pos:R:3 comment="CoB2Ir (PBE, optimized geometry)" magnetic_moment_mub_per_cell=0.6 energy_ev_per_atom=-6.383 crystal_system=cubic pbc="T T T"
B 1.240 -5.466 -4.257
B 0.000 0.000 0.000
Ir 0.827 -3.644 -2.838
Co 0.413 -1.822 -1.419

13.
11
Lattice="2.808 0.000 0.000 -1.404 2.432 0.000 0.000 0.000 37.917" Properties=species:S:1:pos:R:3 comment="Ga2Pt9 (PBE, optimized geometry)" magnetic_moment_mub_per_cell=0.3 energy_ev_per_atom=-5.542 crystal_system=trigonal pbc="T T T"
Pt 0.000 1.621 35.630
Pt 0.000 0.000 0.000
Pt 1.404 0.811 9.273
Pt 0.000 1.621 4.579
Pt 1.404 0.811 33.338
Pt 0.000 1.621 28.644
Pt 1.404 0.811 2.288
Pt 0.000 0.000 31.024
Pt 0.000 0.000 6.893
Ga 0.000 1.621 11.461
Ga 1.404 0.811 26.457

14.
4
Lattice="4.448 -0.135 1.070 1.670 2.810 3.203 1.331 -1.675 4.046" Properties=species:S:1:pos:R:3 comment="TaRe2Sn (PBE, optimized geometry)" magnetic_moment_mub_per_cell=0.0 energy_ev_per_atom=-9.719 crystal_system=cubic pbc="T T T"
Re 5.586 0.750 6.239
Re 0.000 0.000 0.000
Sn 3.724 0.500 4.159
Ta 1.862 0.250 2.080

15.
4
Lattice="-1.215 -2.511 2.676 -0.988 1.254 3.521 -3.709 -0.021 1.089" Properties=species:S:1:pos:R:3 comment="Be2AlFe (PBE, optimized geometry)" magnetic_moment_mub_per_cell=0.0 energy_ev_per_atom=-4.898 crystal_system=cubic pbc="T T T"
Al -2.956 -0.639 3.643
Be 0.000 0.000 0.000
Be -4.434 -0.959 5.464
Fe -1.478 -0.320 1.821

16.
4
Lattice="0.000 3.143 3.143 3.143 0.000 3.143 3.143 3.143 0.000" Properties=species:S:1:pos:R:3 comment="NbNiAgAs (PBE, optimized geometry)" magnetic_moment_mub_per_cell=0.0 energy_ev_per_atom=-5.667 crystal_system=cubic pbc="T T T"
Nb 1.571 1.571 1.571
Ag 3.143 3.143 3.143
Ni 4.714 4.714 4.714
As 0.000 0.000 0.000

17.
8
Lattice="-2.896 2.714 -0.367 -3.069 -2.735 4.003 2.345 3.025 3.865" Properties=species:S:1:pos:R:3 comment="TcAsPtO (PBE, optimized geometry)" magnetic_moment_mub_per_cell=0.0 energy_ev_per_atom=-6.686 crystal_system=orthorhombic pbc="T T T"
As -1.422 -0.898 4.586
As 1.376 2.063 4.398
Tc -2.691 0.299 1.804
Tc -1.854 1.513 4.173
Pt 0.424 0.790 2.498
Pt -0.253 0.655 6.843
O -1.319 1.814 2.182
O -1.758 1.891 6.215

18.
10
Lattice="-2.857 4.949 0.000 2.857 4.949 0.000 0.000 3.299 -4.938" Properties=species:S:1:pos:R:3 comment="LuTlO3 (PBE, optimized geometry)" magnetic_moment_mub_per_cell=0.0 energy_ev_per_atom=-6.484 crystal_system=trigonal pbc="T T T"
O 1.174 4.902 -3.658
O -2.056 6.431 -3.658
O 0.883 8.464 -3.658
O 2.056 6.767 -1.279
O -1.174 8.296 -1.279
O -0.883 4.734 -1.279
Tl 0.000 6.599 -4.502
Tl 0.000 6.599 -0.436
Lu 0.000 9.898 -2.148
Lu 0.000 3.299 -2.790

19.
5
Lattice="-2.841 -3.901 1.916 -1.436 -0.076 4.989 0.002 3.252 -4.048" Properties=species:S:1:pos:R:3 comment="Tc2B2Mo (PBE, optimized geometry)" magnetic_moment_mub_per_cell=0.0 energy_ev_per_atom=-8.832 crystal_system=tetragonal pbc="T T T"
B -1.735 -1.614 2.802
B -2.541 -2.364 4.103
Mo 0.000 0.000 0.000
Tc -2.489 -1.319 0.660
Tc -1.786 0.593 2.197

20.
4
Lattice="0.008 -4.222 -0.913 -2.336 -1.498 -3.311 1.976 -1.436 -3.563" Properties=species:S:1:pos:R:3 comment="BeAsIr2 (PBE, optimized geometry)" magnetic_moment_mub_per_cell=0.0 energy_ev_per_atom=-6.180 crystal_system=cubic pbc="T T T"
As -0.176 -3.578 -3.893
Ir 0.000 0.000 0.000
Ir -0.264 -5.367 -5.840
Be -0.088 -1.789 -1.947

21.
12
Lattice="9.333 0.000 0.000 0.000 4.112 0.000 -4.235 0.000 10.532" Properties=species:S:1:pos:R:3 comment="RbMgNbTe3 (PBE, optimized geometry)" magnetic_moment_mub_per_cell=0.1 energy_ev_per_atom=-4.347 crystal_system=monoclinic pbc="T T T"
Mg -2.385 1.028 6.549
Mg 7.483 3.084 3.983
Nb 8.716 1.028 1.033
Nb -3.619 3.084 9.500
Rb 3.946 1.028 2.979
Rb 1.151 3.084 7.553
Te -0.155 1.028 4.715
Te -1.538 1.028 9.175
Te 3.876 1.028 8.885
Te 5.253 3.084 5.817
Te 6.636 3.084 1.358
Te 1.221 3.084 1.647

22.
8
Lattice="-2.480 3.451 -1.733 -1.503 -4.320 -0.376 -4.296 0.817 7.772" Properties=species:S:1:pos:R:3 comment="YHoIn2Pd4 (PBE, optimized geometry)" magnetic_moment_mub_per_cell=0.0 energy_ev_per_atom=-5.477 crystal_system=hexagonal pbc="T T T"
Pd -2.855 0.543 5.166
Pd -5.429 -1.045 5.685
Pd -1.441 0.274 2.606
Pd -2.524 -1.597 0.430
Y -3.976 -1.321 3.057
In -5.379 1.474 4.553
In -3.225 1.064 0.656
Ho 0.000 0.000 0.000

23.
12
Lattice="1.924 -7.441 0.000 1.924 7.441 0.000 0.000 0.000 10.472" Properties=species:S:1:pos:R:3 comment="KCuNiTe2Se (PBE, optimized geometry)" magnetic_moment_mub_per_cell=0.0 energy_ev_per_atom=-3.677 crystal_system=orthorhombic pbc="T T T"
Cu 1.924 0.649 2.618
Cu 1.924 -0.649 7.854
Se 1.924 6.652 2.618
Se 1.924 -6.652 7.854
Te 1.924 1.707 0.287
Te 1.924 -1.707 5.523
Te 1.924 -1.707 10.186
Te 1.924 1.707 4.949
K 1.924 -3.712 2.618
K 1.924 3.712 7.854
Ni 0.000 0.000 0.000
Ni 0.000 0.000 5.236

24.
6
Lattice="4.122 0.000 0.000 -2.061 3.570 0.000 0.000 0.000 10.099" Properties=species:S:1:pos:R:3 comment="La2NdS3 (PBE, optimized geometry)" magnetic_moment_mub_per_cell=0.0 energy_ev_per_atom=-6.625 crystal_system=trigonal pbc="T T T"
La 0.000 2.380 1.702
La 2.061 1.190 8.397
S 2.061 1.190 3.414
S 0.000 0.000 0.000
S 0.000 2.380 6.685
Nd 0.000 0.000 5.050

25.
8
Lattice="4.479 0.000 0.000 0.000 4.479 0.000 0.000 0.000 6.456" Properties=species:S:1:pos:R:3 comment="Li4InGa2Ag (PBE, optimized geometry)" energy_ev_per_atom=-2.727 crystal_system=tetragonal pbc="T T T"
Li 2.240 0.000 4.941
Li 0.000 2.240 1.516
Li 0.000 0.000 3.228
Li 2.240 2.240 0.000
In 2.240 2.240 3.228
Ga 0.000 2.240 4.935
Ga 2.240 0.000 1.521
Ag 0.000 0.000 0.000

26.
3
Lattice="-5.099 -0.887 2.083 -2.770 4.169 2.465 -4.460 2.242 -2.491" Properties=species:S:1:pos:R:3 comment="SrSmMg (PBE, optimized geometry)" magnetic_moment_mub_per_cell=0.0 energy_ev_per_atom=-2.270 crystal_system=cubic pbc="T T T"
Sr -9.247 4.143 1.542
Sm -3.082 1.381 0.514
Mg 0.000 0.000 0.000